! LiFe2Co | the Alexandria database | PBEsol | relaxed; values from VASP
&SYSTEM
  ibrav = 0, nat = 4, ntyp = 3
/
ATOMIC_SPECIES
Li 6.94 Li.upf
Fe 55.84 Fe.upf
Co 58.93 Co.upf
CELL_PARAMETERS angstrom
2.421 -4.010 0.000
2.421 4.010 0.000
-0.808 0.000 2.230
ATOMIC_POSITIONS angstrom
Li 0.000 0.000 0.000
Fe 0.806 2.005 1.115
Fe 0.806 -2.005 1.115
Co 2.421 0.000 0.000
! - spin magnetization (μB/cell) = 6.13
! - excess energy over the best structure of this formula in the dataset (meV/atom) = 0.0
! - ΔE_f (eV/atom) = 0.173
! - DOS at the Fermi energy (states/eV per atom) = 0.5984
! - calculated density (g/cm³) = 6.81